First-principles (PBE) data for crystalline Te2As at its relaxed geometry, as listed in Alexandria via LeMat-Bulk.

Cell: 6.1323 6.1323 9.1179 Å, 95.37 95.37 36.27°
Fractional positions:
Te: 0.0578 0.0578 0.1731
Te: 0.3328 0.3328 0.5726
Te: 0.6672 0.6672 0.4274
Te: 0.9422 0.9422 0.8269
As: 0.2689 0.2689 0.0932
As: 0.7311 0.7311 0.9068

Energy relative to the lowest polymorph listed for this composition (eV/f.u.): 0.21
Volume (Å³/f.u.): 100.9
Formation energy from raw total energies (meV per atom): 111
Symmetry: No. 12
Theoretical density (Mg/m³): 5.43

***

First-principles (PBE) data for crystalline Si2IF at its relaxed geometry, as listed in Alexandria via LeMat-Bulk.

Cell: 8.8520 8.8520 8.8520 Å, 149.72 149.72 43.36°
Fractional positions:
Si: 0.3750 0.2348 0.3598
Si: 0.7652 0.1250 0.1402
Si: 0.8750 0.0152 0.6402
Si: 0.9848 0.6250 0.8598
I: 0.2500 0.7500 0.5000
I: 0.5000 0.5000 0.0000
F: 0.0000 0.0000 0.0000
F: 0.7500 0.2500 0.5000

Energy relative to the lowest polymorph listed for this composition (eV/f.u.): 0.00
Volume (Å³/f.u.): 87.9
Formation energy from raw total energies (meV per atom): -111
Symmetry: No. 122
Theoretical density (Mg/m³): 3.82

***

First-principles (PBE) data for crystalline Ti6SeN2 at its relaxed geometry, as listed in Alexandria via LeMat-Bulk.

Cell: 7.0479 7.0479 5.9762 Å, 107.27 107.27 89.02°
Fractional positions:
Ti: 0.0049 0.2062 0.0015
Ti: 0.1212 0.6356 0.5171
Ti: 0.2062 0.0049 0.5015
Ti: 0.2864 0.3993 0.8158
Ti: 0.3644 0.8788 0.9829
Ti: 0.3993 0.2864 0.3158
Ti: 0.6007 0.7136 0.6842
Ti: 0.6356 0.1212 0.0171
Ti: 0.7136 0.6007 0.1842
Ti: 0.7938 0.9951 0.4985
Ti: 0.8788 0.3644 0.4829
Ti: 0.9951 0.7938 0.9985
Se: 0.3648 0.6352 0.2500
Se: 0.6352 0.3648 0.7500
N: 0.0463 0.1984 0.6772
N: 0.1984 0.0463 0.1772
N: 0.8016 0.9537 0.8228
N: 0.9537 0.8016 0.3228

Volume (Å³/f.u.): 134.9
Formation energy from raw total energies (meV per atom): -822
Symmetry: No. 15
Theoretical density (Mg/m³): 4.85

***

First-principles (PBE) data for crystalline CrAsPb at its relaxed geometry, as listed in Alexandria via LeMat-Bulk.

Cell: 4.6213 4.6213 4.6213 Å, 60.00 60.00 60.00°
Fractional positions:
Cr: 0.0000 0.0000 0.0000
As: 0.7500 0.7500 0.7500
Pb: 0.2500 0.2500 0.2500

Energy relative to the lowest polymorph listed for this composition (eV/f.u.): 0.85
Volume (Å³/f.u.): 69.8
Formation energy from the elements (eV/atom): 0.34
Symmetry: No. 216
Theoretical density (Mg/m³): 7.95

***

First-principles (PBE) data for crystalline Na3SnMo at its relaxed geometry, as listed in Alexandria via LeMat-Bulk.

Cell: 5.7201 5.7201 5.7201 Å, 90.00 90.00 90.00°
Fractional positions:
Na: 0.0000 0.0000 0.5000
Na: 0.0000 0.5000 0.0000
Na: 0.5000 0.0000 0.0000
Sn: 0.5000 0.5000 0.5000
Mo: 0.0000 0.0000 0.0000

Energy relative to the lowest polymorph listed for this composition (eV/f.u.): 0.74
Volume (Å³/f.u.): 187.2
Formation energy from the elements (eV/atom): 1.26
Symmetry: No. 221
Theoretical density (Mg/m³): 2.52

***

First-principles (PBE) data for crystalline H2Au2I3 at its relaxed geometry, as listed in Alexandria via LeMat-Bulk.

Cell: 5.2427 6.7360 6.9932 Å, 96.01 102.25 102.21°
Fractional positions:
H: 0.0480 0.0505 0.4649
H: 0.9520 0.9495 0.5351
Au: 0.2371 0.2396 0.3702
Au: 0.7629 0.7604 0.6298
I: 0.0000 0.0000 0.0000
I: 0.4293 0.4445 0.7492
I: 0.5707 0.5555 0.2508

E_tot (eV/cell): -17.3
Volume (Å³/f.u.): 233.0
Symmetry: No. 2
Theoretical density (Mg/m³): 5.54

***

First-principles (PBE) data for crystalline NaGaAu2 at its relaxed geometry, as listed in Alexandria via LeMat-Bulk.

Cell: 9.3547 9.3547 9.3547 Å, 146.88 146.88 47.54°
Fractional positions:
Na: 0.3750 0.6250 0.7500
Na: 0.6250 0.3750 0.2500
Ga: 0.1250 0.8750 0.2500
Ga: 0.8750 0.1250 0.7500
Au: 0.0000 0.0000 0.0000
Au: 0.0000 0.0000 0.5000
Au: 0.0000 0.5000 0.0000
Au: 0.5000 0.0000 0.5000

Volume (Å³/f.u.): 121.7
Formation energy from the elements (eV/atom): -0.11
Symmetry: No. 141
Theoretical density (Mg/m³): 6.64

***

First-principles (PBE) data for crystalline MnTc2NiS at its relaxed geometry, as listed in Alexandria via LeMat-Bulk.

Cell: 4.4726 4.4726 4.0649 Å, 90.00 90.00 90.00°
Fractional positions:
Mn: 0.0000 0.0000 0.0000
Tc: 0.0000 0.5000 0.0000
Tc: 0.5000 0.0000 0.0000
Ni: 0.5000 0.5000 0.5000
S: 0.0000 0.0000 0.5000

Volume (Å³/f.u.): 81.3
Formation energy from raw total energies (meV per atom): 1268
Symmetry: No. 123
Theoretical density (Mg/m³): 6.98

***

First-principles (PBE) data for crystalline Dy6Tl3In at its relaxed geometry, as listed in Alexandria via LeMat-Bulk.

Cell: 9.7905 5.1919 11.4475 Å, 90.00 104.16 90.00°
Fractional positions:
Dy: 0.0504 0.2500 0.4079
Dy: 0.1520 0.7500 0.1804
Dy: 0.2599 0.2500 0.9943
Dy: 0.3374 0.7500 0.8106
Dy: 0.3721 0.2500 0.3170
Dy: 0.3934 0.2500 0.6148
Dy: 0.6066 0.7500 0.3852
Dy: 0.6279 0.7500 0.6830
Dy: 0.6626 0.2500 0.1894
Dy: 0.7401 0.7500 0.0057
Dy: 0.8480 0.2500 0.8196
Dy: 0.9496 0.7500 0.5921
Tl: 0.0303 0.7500 0.8903
Tl: 0.1205 0.2500 0.7075
Tl: 0.2833 0.7500 0.4691
Tl: 0.7167 0.2500 0.5309
Tl: 0.8795 0.7500 0.2925
Tl: 0.9697 0.2500 0.1097
In: 0.4446 0.7500 0.1150
In: 0.5554 0.2500 0.8850

Volume (Å³/f.u.): 282.1
Formation energy from the elements (eV/atom): -0.29
Symmetry: No. 11
Theoretical density (Mg/m³): 10.02

***

First-principles (PBE) data for crystalline CrHgIr2 at its relaxed geometry, as listed in Alexandria via LeMat-Bulk.

Cell: 4.8102 4.8102 4.9106 Å, 101.50 101.50 34.39°
Fractional positions:
Cr: 0.0000 0.0000 0.0000
Hg: 0.5000 0.5000 0.5000
Ir: 0.2648 0.2648 0.7763
Ir: 0.7352 0.7352 0.2237

Volume (Å³/f.u.): 62.8
Formation energy from the elements (eV/atom): 0.27
Symmetry: No. 12
Theoretical density (Mg/m³): 16.85

***

First-principles (PBE) data for crystalline LiTmAlGa at its relaxed geometry, as listed in Alexandria via LeMat-Bulk.

Cell: 4.7949 4.7949 4.7949 Å, 60.00 60.00 60.00°
Fractional positions:
Li: 0.0000 0.0000 0.0000
Tm: 0.5000 0.5000 0.5000
Al: 0.7500 0.7500 0.7500
Ga: 0.2500 0.2500 0.2500

Volume (Å³/f.u.): 78.0
Formation energy from the elements (eV/atom): -0.33
Symmetry: No. 216
Theoretical density (Mg/m³): 5.81

***

First-principles (PBE) data for crystalline NdDyTlPb at its relaxed geometry, as listed in Alexandria via LeMat-Bulk.

Cell: 5.4795 5.4795 5.4795 Å, 60.00 60.00 60.00°
Fractional positions:
Nd: 0.0000 0.0000 0.0000
Dy: 0.5000 0.5000 0.5000
Tl: 0.2500 0.2500 0.2500
Pb: 0.7500 0.7500 0.7500

Energy relative to the lowest polymorph listed for this composition (eV/f.u.): 0.14
Volume (Å³/f.u.): 116.3
Formation energy from the elements (eV/atom): -0.39
Symmetry: No. 216
Theoretical density (Mg/m³): 10.25